Tc2AsBr: optimized geometry, PBE.

Cell lengths 2.9269, 2.9269, 10.2936 Å; angles 90.00, 90.00, 119.94 degrees
Positions (direct):
As  0.0000  0.0000  0.4398
Br  0.5000  0.5000  0.8037
Tc  0.5000  0.5000  0.2296
Tc  0.0000  0.0000  0.0269

Results
Its space group is No. 35. As for the density of states at the Fermi level: 4.7 states/eV/f.u. Its uncorrected formation energy is 2.0 eV per formula unit. The total magnetization is 0.000 μB per formula unit.



Ni5Os2Rh12: optimized geometry, PBE.

Cell lengths 5.2689, 7.5730, 7.7110 Å; angles 102.08, 90.00, 110.36 degrees
Positions (direct):
Rh  0.5409  0.5741  0.8609
Rh  0.9057  0.8115  0.7180
Rh  0.0943  0.1885  0.2820
Rh  0.8787  0.2680  0.6174
Rh  0.1213  0.7320  0.3826
Rh  0.3893  0.2680  0.6174
Rh  0.5334  0.0669  0.3216
Rh  0.9667  0.4259  0.1391
Rh  0.6107  0.7320  0.3826
Rh  0.4591  0.4259  0.1391
Rh  0.0333  0.5741  0.8609
Rh  0.4666  0.9331  0.6784
Ni  0.3761  0.7521  0.1090
Ni  0.0000  0.0000  0.5000
Ni  0.6239  0.2479  0.8910
Ni  0.7260  0.4520  0.4344
Ni  0.2740  0.5480  0.5656
Os  0.7587  0.0000  0.0000
Os  0.2413  0.0000  0.0000

Results
Its space group is No. 12. As for the density of states at the Fermi level: 33.5 states/eV/f.u. The total magnetization is 0.000 μB per formula unit. The formation energy comes out at 0.44 eV per atom.



AlIr2I: optimized geometry, PBE.

Cell lengths 4.3092, 4.3092, 8.7298 Å; angles 75.71, 75.71, 90.00 degrees
Positions (direct):
Ir  0.8750  0.8637  0.7500
Ir  0.3750  0.3863  0.7500
Ir  0.6137  0.1250  0.2500
Ir  0.1363  0.6250  0.2500
I  0.7500  0.2500  0.5000
I  0.0000  0.0000  0.0000
Al  0.5000  0.5000  0.0000
Al  0.2500  0.7500  0.5000

Results
Its space group is No. 122. As for the density of states at the Fermi level: 2.2 states/eV/f.u. Its uncorrected formation energy is 1.8 eV per formula unit. The total magnetization is 0.000 μB per formula unit.



Sr8Tl2Hg3: optimized geometry, PBE.

Cell lengths 5.6890, 9.8286, 9.8288 Å; angles 70.70, 90.00, 90.00 degrees
Positions (direct):
Tl  0.5000  0.2516  0.2516
Tl  0.5000  0.7484  0.7484
Sr  0.0000  0.8758  0.8758
Sr  0.5000  0.1216  0.6274
Sr  0.0000  0.1242  0.1242
Sr  0.5000  0.3726  0.8785
Sr  0.0000  0.3731  0.3731
Sr  0.5000  0.6274  0.1215
Sr  0.5000  0.8784  0.3726
Sr  0.0000  0.6269  0.6269
Hg  0.0000  0.7481  0.2519
Hg  0.0000  0.2519  0.7481
Hg  0.5000  0.0000  0.0000

Results
Its space group is No. 65. As for the density of states at the Fermi level: 14.4 states/eV/f.u. The total magnetization is 0.000 μB per formula unit. The formation energy comes out at -0.33 eV per atom.



FeRhS3: optimized geometry, PBE.

Cell lengths 4.3656, 4.3656, 4.3656 Å; angles 90.00, 90.00, 90.00 degrees
Each line ends with the local moment (μB).
Positions (direct):
S  0.5000  0.0000  0.0000  0.17
S  0.0000  0.0000  0.5000  0.07
S  0.0000  0.5000  0.0000  0.09
Rh  0.5000  0.5000  0.5000  -0.09
Fe  0.0000  0.0000  0.0000  1.69

Results
Its space group is No. 221. As for the density of states at the Fermi level: 7.1 states/eV/f.u. Its uncorrected formation energy is 3.2 eV per formula unit. The total magnetization is 2.146 μB per formula unit.



Sr2DySeO6: optimized geometry, PBE.

Cell lengths 5.8439, 5.8475, 5.8475 Å; angles 90.00, 59.97, 120.03 degrees
Positions (direct):
Sr  0.5000  0.7500  0.7501
Sr  0.5000  0.2500  0.2500
O  0.5309  0.2654  0.7346
O  0.4691  0.7346  0.2654
O  0.0000  0.2653  0.2653
O  0.9999  0.7346  0.2654
O  0.0000  0.7347  0.7347
O  0.0001  0.2654  0.7346
Se  0.0000  0.5000  0.5000
Dy  0.0000  0.0000  0.0000

Results
Its space group is No. 139. As for the density of states at the Fermi level: 2.8 states/eV/f.u. Its uncorrected formation energy is -22.5 eV per formula unit. The total magnetization is 0.000 μB per formula unit.



Which of these has the highest density of states at the Fermi level? Ni5Os2Rh12



Please write out number 5 again, unchanged.
FeRhS3: optimized geometry, PBE.

Cell lengths 4.3656, 4.3656, 4.3656 Å; angles 90.00, 90.00, 90.00 degrees
Each line ends with the local moment (μB).
Positions (direct):
S  0.5000  0.0000  0.0000  0.17
S  0.0000  0.0000  0.5000  0.07
S  0.0000  0.5000  0.0000  0.09
Rh  0.5000  0.5000  0.5000  -0.09
Fe  0.0000  0.0000  0.0000  1.69

Results
Its space group is No. 221. As for the density of states at the Fermi level: 7.1 states/eV/f.u. Its uncorrected formation energy is 3.2 eV per formula unit. The total magnetization is 2.146 μB per formula unit.



The highest density of states at the Fermi level belongs to which entry? Ni5Os2Rh12